(1)
This record from Alexandria describes crystalline Sr2Mg3Sn4Hg at its relaxed geometry. The functional is PBE.

Output
Crystal system: tetragonal
Space group: P-4m2

Unit cell a=4.8057 b=4.8057 c=12.2897 alpha=90.00 beta=90.00 gamma=90.00
Sites, in units of the cell vectors:
Sr 0.0000 0.5000 0.2485
Sr 0.5000 0.0000 0.7515
Mg 0.0000 0.0000 0.0000
Mg 0.0000 0.5000 0.6341
Mg 0.5000 0.0000 0.3659
Sn 0.0000 0.0000 0.5000
Sn 0.0000 0.5000 0.8595
Sn 0.5000 0.0000 0.1405
Sn 0.5000 0.5000 0.5000
Hg 0.5000 0.5000 0.0000

***

(2)
This record from Alexandria describes crystalline SrMg2SnHg4 at its relaxed geometry. The functional is PBE.

Output
Crystal system: trigonal
Space group: R-3m

Unit cell a=10.5256 b=10.5256 c=10.5256 alpha=26.83 beta=26.83 gamma=26.83
Sites, in units of the cell vectors:
Sr 0.0000 0.0000 0.0000
Mg 0.2369 0.2369 0.2369
Mg 0.7631 0.7631 0.7631
Sn 0.5000 0.5000 0.5000
Hg 0.1199 0.1199 0.1199
Hg 0.3916 0.3916 0.3916
Hg 0.6084 0.6084 0.6084
Hg 0.8801 0.8801 0.8801

***

(3)
This record from Alexandria describes crystalline SrMg2SnHg at its relaxed geometry. The functional is PBE.

Output
Crystal system: tetragonal
Space group: P4/mmm

Unit cell a=5.5102 b=5.5102 c=5.7046 alpha=90.00 beta=90.00 gamma=90.00
Sites, in units of the cell vectors:
Sr 0.0000 0.0000 0.0000
Mg 0.0000 0.5000 0.5000
Mg 0.5000 0.0000 0.5000
Sn 0.5000 0.5000 0.5000
Hg 0.5000 0.5000 0.0000

***

(4)
This record from Alexandria describes crystalline Mg2TaSnHg at its relaxed geometry. The functional is PBE.

Output
Crystal system: tetragonal
Space group: P4/mmm

Unit cell a=5.4350 b=5.4350 c=5.2884 alpha=90.00 beta=90.00 gamma=90.00
Sites, in units of the cell vectors:
Mg 0.0000 0.5000 0.0000
Mg 0.5000 0.0000 0.0000
Ta 0.0000 0.0000 0.0000
Sn 0.5000 0.5000 0.5000
Hg 0.0000 0.0000 0.5000

***

(5)
This record from Alexandria describes crystalline MgSn2HgTe4 at its relaxed geometry. The functional is PBE.

Output
Crystal system: monoclinic
Energy relative to the elements, uncorrected: -0.3346 eV per atom
Space group: P2/m

Unit cell a=7.5958 b=4.4216 c=7.7017 alpha=90.00 beta=110.38 gamma=90.00
Sites, in units of the cell vectors:
Mg 0.0000 0.0000 0.0000
Sn 0.5000 0.0000 0.5000
Sn 0.5000 0.5000 0.0000
Hg 0.0000 0.5000 0.5000
Te 0.2379 0.5000 0.2341
Te 0.2392 0.0000 0.7546
Te 0.7608 0.0000 0.2454
Te 0.7621 0.5000 0.7659

***

(6)
This record from Alexandria describes crystalline Mg2TlSnHg4 at its relaxed geometry. The functional is PBE.

Output
Crystal system: trigonal
Space group: R-3m

Unit cell a=10.5862 b=10.5862 c=10.5862 alpha=26.36 beta=26.36 gamma=26.36
Sites, in units of the cell vectors:
Mg 0.2414 0.2414 0.2414
Mg 0.7586 0.7586 0.7586
Tl 0.0000 0.0000 0.0000
Sn 0.5000 0.5000 0.5000
Hg 0.1213 0.1213 0.1213
Hg 0.3874 0.3874 0.3874
Hg 0.6126 0.6126 0.6126
Hg 0.8787 0.8787 0.8787

***

no.,electronic total energy (hartree per atom)
1,-0.1039
2,-0.0560
3,-0.0639
4,-0.1013
5,-0.1155
6,-0.0510